# NaCeHo (PBE, optimized geometry)
data_NaCeHo
_symmetry_space_group_name_H-M 'P 4/n m m'
_symmetry_Int_Tables_number 129
_cell_length_a 3.872
_cell_length_b 3.872
_cell_length_c 13.255
_cell_angle_alpha 90.00
_cell_angle_beta 90.00
_cell_angle_gamma 90.00
loop_
_symmetry_equiv_pos_as_xyz
'x,y,z'
'-x,-y,-z'
'-y+1/2,x,z'
'y+1/2,-x,-z'
'-x+1/2,-y+1/2,z'
'x+1/2,y+1/2,-z'
'y,-x+1/2,z'
'-y,x+1/2,-z'
'x+1/2,-y,-z'
'-x+1/2,y,z'
'-y,-x,-z'
'y,x,z'
'-x,y+1/2,-z'
'x,-y+1/2,z'
'y+1/2,x+1/2,-z'
'-y+1/2,-x+1/2,z'
loop_
_atom_site_label
_atom_site_fract_x
_atom_site_fract_y
_atom_site_fract_z
Na1 0.250 0.250 0.084
Ce1 0.250 0.750 0.500
Ho1 0.250 0.250 0.726
# **ρ**: 5.48 g/cm3
# **Energy of formation from the pure elements**: 0.460 eV per atom

---

# SmDy2Si (PBE, optimized geometry)
data_SmDy2Si
_symmetry_space_group_name_H-M 'P 4/m m m'
_symmetry_Int_Tables_number 123
_symmetry_space_group_name_Hall '-P 4 2'
_cell_length_a 4.666
_cell_length_b 4.666
_cell_length_c 4.649
_cell_angle_alpha 90.00
_cell_angle_beta 90.00
_cell_angle_gamma 90.00
loop_
_atom_site_label
_atom_site_fract_x
_atom_site_fract_y
_atom_site_fract_z
Sm1 0.000 0.000 0.000
Dy1 0.000 0.500 0.500
Si1 0.500 0.500 0.000
# **Polymorph energy (0 for the lowest one)**: 0 meV per atom
# **ρ**: 8.26 g/cm3
# **Formation energy (no corrections)**: -0.25 eV/atom

---

Q: What is the ρ in the second record?
A: 8.26 g/cm3